[1]
# SrTl2Mo | Alexandria via LeMat-Bulk | PBE | optimized geometry
data_SrTl2Mo
_chemical_formula_sum 'Sr4 Tl8 Mo4'
_space_group_name_H-M_alt 'I -4 2 d'
_space_group_IT_number 122
_space_group_name_Hall 'I -4 2bw'
_cell_length_a 5.2411
_cell_length_b 5.2411
_cell_length_c 19.4293
_cell_angle_alpha 90.00
_cell_angle_beta 90.00
_cell_angle_gamma 90.00
loop_
_atom_site_label
_atom_site_fract_x
_atom_site_fract_y
_atom_site_fract_z
Sr1 0.0000 0.0000 0.0000
Tl1 0.1440 0.2500 0.6250
Mo1 0.0000 0.0000 0.5000
# V, Å³/cell: 533.7
# Calculated density, g/cm³: 7.4
# Crystal system: tetragonal
# Energy relative to the elements, eV/atom: 0.72
# Final energy, eV for the cell shown: -57.52

---

[2]
# LaBPS2 | Alexandria via LeMat-Bulk | PBE | optimized geometry
data_LaBPS2
_chemical_formula_sum 'La1 B1 P1 S2'
_space_group_name_H-M_alt 'P 4/m m m'
_space_group_IT_number 123
_space_group_name_Hall '-P 4 2'
_cell_length_a 4.6354
_cell_length_b 4.6354
_cell_length_c 4.0567
_cell_angle_alpha 90.00
_cell_angle_beta 90.00
_cell_angle_gamma 90.00
loop_
_atom_site_label
_atom_site_fract_x
_atom_site_fract_y
_atom_site_fract_z
La1 0.0000 0.0000 0.0000
B1 0.5000 0.5000 0.5000
P1 0.5000 0.5000 0.0000
S1 0.0000 0.5000 0.5000
# V, Å³/cell: 87.2
# Calculated density, g/cm³: 4.7
# Crystal system: tetragonal
# Final energy, eV for the cell shown: -27.26

---

[3]
# LaTb2Pm5 | Alexandria via LeMat-Bulk | PBE | optimized geometry
data_LaTb2Pm5
_chemical_formula_sum 'La2 Tb4 Pm10'
_space_group_name_H-M_alt 'P b a m'
_space_group_IT_number 55
_space_group_name_Hall '-P 2 2ab'
_cell_length_a 7.2892
_cell_length_b 14.5853
_cell_length_c 5.1366
_cell_angle_alpha 90.00
_cell_angle_beta 90.00
_cell_angle_gamma 90.00
loop_
_atom_site_label
_atom_site_fract_x
_atom_site_fract_y
_atom_site_fract_z
La1 0.0000 0.0000 0.0000
Tb1 0.2497 0.1259 0.5000
Pm1 0.0000 0.5000 0.0000
Pm2 0.0007 0.7486 0.0000
Pm3 0.2491 0.3743 0.5000
# V, Å³/cell: 546.1
# Calculated density, g/cm³: 7.2
# Crystal system: orthorhombic
# Energy relative to the elements, eV/atom: 0.02
# Final energy, eV for the cell shown: -75.63